Entry 1:
VASP calculation (GGA-PBE) on crystalline NdTm2In3PtAu2 at its relaxed geometry.

a b c (Å): 3.971 7.740 7.740
angles (deg): 120.32 90.00 90.00
Atoms (fractional coordinates):
Au 0.500 0.670 0.326
Au 0.500 0.326 0.670
In 0.500 0.745 0.001
In 0.500 0.256 0.256
In 0.500 0.001 0.745
Nd 0.000 0.596 0.596
Pt 0.000 0.007 0.007
Tm 0.000 0.999 0.400
Tm 0.000 0.400 0.999

Results
Symmetry = No. 38
E = -4.650 eV per atom
Calculated volume = 22.82 Å³ per atom

---

Entry 2:
VASP calculation (GGA-PBE) on crystalline Nd2TmIn3PtAu2 at its relaxed geometry.

a b c (Å): 4.016 7.778 7.778
angles (deg): 119.83 90.00 90.00
Atoms (fractional coordinates):
Au 0.500 0.663 0.343
Au 0.500 0.343 0.663
In 0.500 0.252 0.252
In 0.500 0.998 0.746
In 0.500 0.746 0.998
Nd 0.000 0.405 0.001
Nd 0.000 0.001 0.405
Pt 0.000 0.992 0.992
Tm 0.000 0.600 0.600

Results
Symmetry = No. 38
E = -4.678 eV per atom
Calculated volume = 23.42 Å³ per atom

---

Entry 3:
VASP calculation (GGA-PBE) on crystalline Nd2YIn3Pt2Au at its relaxed geometry.

a b c (Å): 3.984 7.785 7.785
angles (deg): 119.85 90.00 90.00
Atoms (fractional coordinates):
Au 0.000 0.998 0.998
In 0.500 0.265 0.265
In 0.500 0.997 0.736
In 0.500 0.736 0.997
Nd 0.000 0.410 0.000
Nd 0.000 0.000 0.410
Pt 0.500 0.665 0.338
Pt 0.500 0.338 0.665
Y 0.000 0.591 0.591

Results
Symmetry = No. 38
E = -5.287 eV per atom
Calculated volume = 23.27 Å³ per atom

---

Entry 4:
VASP calculation (GGA-PBE) on crystalline NdY2In3PtAu2 at its relaxed geometry.

a b c (Å): 3.997 7.776 7.776
angles (deg): 120.23 90.00 90.00
Atoms (fractional coordinates):
Au 0.500 0.671 0.332
Au 0.500 0.332 0.671
In 0.500 0.997 0.254
In 0.500 0.747 0.747
In 0.500 0.254 0.997
Nd 0.000 0.403 0.403
Pt 0.000 0.997 0.997
Y 0.000 0.600 0.000
Y 0.000 0.000 0.600

Results
Symmetry = No. 38
E = -5.109 eV per atom
Calculated volume = 23.20 Å³ per atom

---

Entry 5:
VASP calculation (GGA-PBE) on crystalline NdInAu3S4 at its relaxed geometry.

a b c (Å): 6.186 6.186 6.186
angles (deg): 90.00 90.00 90.00
Atoms (fractional coordinates):
Au 0.500 0.500 0.000
Au 0.500 0.000 0.500
Au 0.000 0.500 0.500
In 0.000 0.000 0.000
Nd 0.500 0.500 0.500
S 0.248 0.248 0.248
S 0.752 0.752 0.248
S 0.752 0.248 0.752
S 0.248 0.752 0.752

Results
Symmetry = No. 215
E = -4.120 eV per atom
Calculated volume = 26.30 Å³ per atom

---

Entry 6:
VASP calculation (GGA-PBE) on crystalline NdInTe4Au3 at its relaxed geometry.

a b c (Å): 6.744 6.744 6.744
angles (deg): 90.00 90.00 90.00
Atoms (fractional coordinates):
Au 0.500 0.500 0.000
Au 0.500 0.000 0.500
Au 0.000 0.500 0.500
In 0.000 0.000 0.000
Nd 0.500 0.500 0.500
Te 0.248 0.248 0.248
Te 0.752 0.752 0.248
Te 0.752 0.248 0.752
Te 0.248 0.752 0.752

Results
Symmetry = No. 215
E = -3.652 eV per atom
Calculated volume = 34.08 Å³ per atom